LiNdHf: relaxed, PBE.

Properties
The density of states at the Fermi level comes out at 5.78 states/eV per cell. As for the formation enthalpy at 0 K: 0.13 eV per atom. The raw total energy comes out at -5.42 eV per atom.

```
6
Lattice="3.361 0.001 0.127 1.680 2.912 0.127 1.066 0.616 16.163" Properties=species:S:1:pos:R:3 pbc="T T T"
Hf 0.335 0.193 3.689
Li 1.802 1.041 9.417
Nd 1.596 0.922 14.726
Hf 3.789 2.189 1.468
Li 3.389 1.958 11.908
Nd 3.595 2.077 6.595
```